Compound: Ac6Os2PtI3
Source: the Alexandria database
Functional: GGA-PBE
Structure: optimized geometry

The value obtained for the volume is 868.80 Å³/cell. The formation energy without anion corrections comes out at -0.838 eV/atom. The value obtained for the density of states at the Fermi level is 0.43 states/eV per atom. The total energy comes out at -135.7 eV for the cell shown. The size of the total moment comes out at 0.00 μB per formula unit.

The space group is C2/m (No. 12) and the conventional cell measures 7.631, 13.217 and 8.981 Å, with angles of 90.00, 106.43 and 90.00 degrees. Symmetry generates all atoms from Ac at (0.217, 0.000, 0.185), Ac at (0.234, 0.328, 0.185), Os at (0.000, 0.167, 0.000), Pt at (0.000, 0.500, 0.000), I at (0.000, 0.000, 0.500) and I at (0.000, 0.332, 0.500).